(1)
# LiHfPd

Crystalline LiHfPd at its relaxed geometry (PBE, Alexandria).

The structure in CIF format:
```
data_LiHfPd
_chemical_formula_sum 'Li2 Hf2 Pd2'
_cell_length_a 3.296
_cell_length_b 3.296
_cell_length_c 9.503
_cell_angle_alpha 90.00
_cell_angle_beta 90.00
_cell_angle_gamma 90.00
_space_group_name_H-M_alt 'P 1'
_space_group_IT_number 1
loop_
_space_group_symop_operation_xyz
'x,y,z'
loop_
_atom_site_label
_atom_site_fract_x
_atom_site_fract_y
_atom_site_fract_z
Li1 0.250 0.250 0.073
Li2 0.750 0.750 0.927
Hf1 0.250 0.250 0.392
Hf2 0.750 0.750 0.608
Pd1 0.250 0.250 0.769
Pd2 0.750 0.750 0.231
```

Output
* energy relative to the lowest polymorph listed for this composition: 0.0 meV per atom
* raw total energy: -18.6 eV/f.u.
* ΔH_f (0 K): -1.5 eV per formula unit
* DOS(E_F): 2.614 states/eV per cell


(2)
# PuSb2As

Crystalline PuSb2As at its relaxed geometry (PBE, Alexandria).

The structure in CIF format:
```
data_PuSb2As
_chemical_formula_sum 'Pu1 Sb2 As1'
_cell_length_a 4.461
_cell_length_b 4.461
_cell_length_c 4.851
_cell_angle_alpha 90.00
_cell_angle_beta 90.00
_cell_angle_gamma 90.00
_space_group_name_H-M_alt 'P 1'
_space_group_IT_number 1
loop_
_space_group_symop_operation_xyz
'x,y,z'
loop_
_atom_site_label
_atom_site_fract_x
_atom_site_fract_y
_atom_site_fract_z
Pu1 0.000 0.000 0.000
Sb1 0.000 0.500 0.500
Sb2 0.500 0.000 0.500
As1 0.500 0.500 0.000
```

Output
* energy relative to the lowest polymorph listed for this composition: 0.0 meV per atom
* raw total energy: -28.7 eV/f.u.
* DOS(E_F): 8.129 states/eV per cell
* energy relative to the elements, uncorrected: -0.359 eV per atom


(3)
# K2ZrPC

Crystalline K2ZrPC at its relaxed geometry (PBE, Alexandria).

The structure in CIF format:
```
data_K2ZrPC
_chemical_formula_sum 'K2 Zr1 P1 C1'
_cell_length_a 7.192
_cell_length_b 7.192
_cell_length_c 4.891
_cell_angle_alpha 90.00
_cell_angle_beta 90.00
_cell_angle_gamma 90.00
_space_group_name_H-M_alt 'P 1'
_space_group_IT_number 1
loop_
_space_group_symop_operation_xyz
'x,y,z'
loop_
_atom_site_label
_atom_site_fract_x
_atom_site_fract_y
_atom_site_fract_z
K1 0.000 0.500 0.000
K2 0.500 0.000 0.000
Zr1 0.000 0.000 0.000
P1 0.000 0.000 0.500
C1 0.500 0.500 0.500
```

Output
* raw total energy: -17.4 eV/f.u.
* ΔH_f (0 K): 8.0 eV per formula unit
* DOS(E_F): 5.471 states/eV per cell


(4)
# CaTlAg2

Crystalline CaTlAg2 at its relaxed geometry (PBE, Alexandria).

The structure in CIF format:
```
data_CaTlAg2
_chemical_formula_sum 'Ca1 Tl1 Ag2'
_cell_length_a 3.692
_cell_length_b 3.692
_cell_length_c 6.919
_cell_angle_alpha 90.00
_cell_angle_beta 90.00
_cell_angle_gamma 90.00
_space_group_name_H-M_alt 'P 1'
_space_group_IT_number 1
loop_
_space_group_symop_operation_xyz
'x,y,z'
loop_
_atom_site_label
_atom_site_fract_x
_atom_site_fract_y
_atom_site_fract_z
Ca1 0.000 0.000 0.000
Tl1 0.500 0.500 0.302
Ag1 0.000 0.000 0.538
Ag2 0.500 0.500 0.739
```

Output
* raw total energy: -10.6 eV/f.u.
* ΔH_f (0 K): -0.6 eV per formula unit
* DOS(E_F): 1.571 states/eV per cell


(5)
# AcMg6Hg2

Crystalline AcMg6Hg2 at its relaxed geometry (PBE, Alexandria).

The structure in CIF format:
```
data_AcMg6Hg2
_chemical_formula_sum 'Ac2 Mg12 Hg4'
_cell_length_a 9.316
_cell_length_b 9.316
_cell_length_c 9.316
_cell_angle_alpha 60.00
_cell_angle_beta 60.00
_cell_angle_gamma 60.00
_space_group_name_H-M_alt 'P 1'
_space_group_IT_number 1
loop_
_space_group_symop_operation_xyz
'x,y,z'
loop_
_atom_site_label
_atom_site_fract_x
_atom_site_fract_y
_atom_site_fract_z
Ac1 0.125 0.125 0.125
Ac2 0.875 0.875 0.875
Mg1 0.141 0.141 0.609
Mg2 0.141 0.609 0.141
Mg3 0.141 0.609 0.609
Mg4 0.391 0.391 0.859
Mg5 0.391 0.859 0.391
Mg6 0.391 0.859 0.859
Mg7 0.609 0.141 0.141
Mg8 0.609 0.141 0.609
Mg9 0.609 0.609 0.141
Mg10 0.859 0.391 0.391
Mg11 0.859 0.391 0.859
Mg12 0.859 0.859 0.391
Hg1 0.000 0.500 0.500
Hg2 0.500 0.000 0.500
Hg3 0.500 0.500 0.000
Hg4 0.500 0.500 0.500
```

Output
* energy relative to the lowest polymorph listed for this composition: 399.3 meV per atom
* raw total energy: -12.5 eV/f.u.
* ΔH_f (0 K): 1.8 eV per formula unit
* DOS(E_F): 13.614 states/eV per cell


(6)
# Er5MgAl3

Crystalline Er5MgAl3 at its relaxed geometry (PBE, Alexandria).

The structure in CIF format:
```
data_Er5MgAl3
_chemical_formula_sum 'Er10 Mg2 Al6'
_cell_length_a 8.957
_cell_length_b 8.957
_cell_length_c 6.423
_cell_angle_alpha 90.00
_cell_angle_beta 90.00
_cell_angle_gamma 120.00
_space_group_name_H-M_alt 'P 1'
_space_group_IT_number 1
loop_
_space_group_symop_operation_xyz
'x,y,z'
loop_
_atom_site_label
_atom_site_fract_x
_atom_site_fract_y
_atom_site_fract_z
Er1 0.000 0.312 0.250
Er2 0.000 0.688 0.750
Er3 0.312 0.000 0.250
Er4 0.312 0.312 0.750
Er5 0.333 0.667 0.000
Er6 0.333 0.667 0.500
Er7 0.667 0.333 0.000
Er8 0.667 0.333 0.500
Er9 0.688 0.000 0.750
Er10 0.688 0.688 0.250
Mg1 0.000 0.000 0.000
Mg2 0.000 0.000 0.500
Al1 0.000 0.351 0.750
Al2 0.000 0.649 0.250
Al3 0.351 0.000 0.750
Al4 0.351 0.351 0.250
Al5 0.649 0.000 0.250
Al6 0.649 0.649 0.750
```

Output
* raw total energy: -38.2 eV/f.u.
* ΔH_f (0 K): -2.6 eV per formula unit
* DOS(E_F): 13.861 states/eV per cell